1.
This record from the Alexandria database describes Tb4PmTl2 after structural relaxation. The functional is GGA-PBE.

## Properties
Total DFT energy (no corrections) in Ry per atom: -0.289
ρ in g/cm3: 9.24
Fermi-level density of states in states/eV/atom: 1.37
Excess energy over the best structure of this formula in the dataset in meV per atom: 0.0
ΔE_f in eV per atom: 0.0684

CIF file:
```
data_Tb4PmTl2
_chemical_formula_sum 'Tb4 Pm1 Tl2'
_symmetry_space_group_name_H-M 'P 4/m m m'
_symmetry_Int_Tables_number 123
_symmetry_space_group_name_Hall '-P 4 2'
_cell_length_a 7.835
_cell_length_b 7.835
_cell_length_c 3.483
_cell_angle_alpha 90.00
_cell_angle_beta 90.00
_cell_angle_gamma 90.00
loop_
_atom_site_label
_atom_site_type_symbol
_atom_site_fract_x
_atom_site_fract_y
_atom_site_fract_z
Tb1 Tb 0.210 0.210 0.000
Pm1 Pm 0.500 0.500 0.000
Tl1 Tl 0.000 0.500 0.500
```

2.
This record from the Alexandria database describes Tb4Pm15Tl after structural relaxation. The functional is GGA-PBE.

## Properties
Total DFT energy (no corrections) in Ry per atom: -0.340
ρ in g/cm3: 7.54
Fermi-level density of states in states/eV/atom: 1.38
ΔE_f in eV per atom: -0.0229

CIF file:
```
data_Tb4Pm15Tl
_chemical_formula_sum 'Tb4 Pm15 Tl1'
_symmetry_space_group_name_H-M 'P 4/m m m'
_symmetry_Int_Tables_number 123
_symmetry_space_group_name_Hall '-P 4 2'
_cell_length_a 5.082
_cell_length_b 5.082
_cell_length_c 25.708
_cell_angle_alpha 90.00
_cell_angle_beta 90.00
_cell_angle_gamma 90.00
loop_
_atom_site_label
_atom_site_type_symbol
_atom_site_fract_x
_atom_site_fract_y
_atom_site_fract_z
Tb1 Tb 0.000 0.000 0.100
Tb2 Tb 0.000 0.000 0.302
Pm1 Pm 0.000 0.500 0.000
Pm2 Pm 0.000 0.500 0.201
Pm3 Pm 0.000 0.500 0.403
Pm4 Pm 0.500 0.500 0.101
Pm5 Pm 0.500 0.500 0.303
Pm6 Pm 0.500 0.500 0.500
Tl1 Tl 0.000 0.000 0.500
```

3.
This record from the Alexandria database describes Tb3Pm4Tl4 after structural relaxation. The functional is GGA-PBE.

## Properties
Total DFT energy (no corrections) in Ry per atom: -0.301
ρ in g/cm3: 9.20
Fermi-level density of states in states/eV/atom: 0.95
ΔE_f in eV per atom: -0.2477

CIF file:
```
data_Tb3Pm4Tl4
_chemical_formula_sum 'Tb6 Pm8 Tl8'
_symmetry_space_group_name_H-M 'I m m m'
_symmetry_Int_Tables_number 71
_symmetry_space_group_name_Hall '-I 2 2'
_cell_length_a 3.688
_cell_length_b 9.485
_cell_length_c 19.351
_cell_angle_alpha 90.00
_cell_angle_beta 90.00
_cell_angle_gamma 90.00
loop_
_atom_site_label
_atom_site_type_symbol
_atom_site_fract_x
_atom_site_fract_y
_atom_site_fract_z
Tb1 Tb 0.000 0.000 0.000
Tb2 Tb 0.000 0.500 0.094
Pm1 Pm 0.000 0.322 0.338
Tl1 Tl 0.000 0.000 0.274
Tl2 Tl 0.000 0.220 0.500
```

4.
This record from the Alexandria database describes Tb3Pm2Tl after structural relaxation. The functional is GGA-PBE.

## Properties
Total DFT energy (no corrections) in Ry per atom: -0.296
ρ in g/cm3: 8.03
Fermi-level density of states in states/eV/atom: 1.73
Excess energy over the best structure of this formula in the dataset in meV per atom: 370.5
ΔE_f in eV per atom: 0.2691

CIF file:
```
data_Tb3Pm2Tl
_chemical_formula_sum 'Tb6 Pm4 Tl2'
_symmetry_space_group_name_H-M 'I m m 2'
_symmetry_Int_Tables_number 44
_cell_length_a 3.437
_cell_length_b 10.028
_cell_length_c 11.660
_cell_angle_alpha 90.00
_cell_angle_beta 90.00
_cell_angle_gamma 90.00
loop_
_symmetry_equiv_pos_as_xyz
'x,y,z'
'-x,-y,z'
'-x,y,z'
'x,-y,z'
'x+1/2,y+1/2,z+1/2'
'-x+1/2,-y+1/2,z+1/2'
'-x+1/2,y+1/2,z+1/2'
'x+1/2,-y+1/2,z+1/2'
loop_
_atom_site_label
_atom_site_type_symbol
_atom_site_fract_x
_atom_site_fract_y
_atom_site_fract_z
Tb1 Tb 0.000 0.000 0.000
Tb2 Tb 0.000 0.339 0.034
Pm1 Pm 0.000 0.172 0.283
Tl1 Tl 0.000 0.500 0.267
```